No. 1
VASP calculation (GGA-PBE) on an optimized crystal structure of HfZn2Pt.

Cell and atoms, written as CIF:
```
data_HfZn2Pt
_chemical_formula_sum 'Hf2 Zn4 Pt2'
_symmetry_space_group_name_H-M 'P 1'
_symmetry_Int_Tables_number 1
_symmetry_space_group_name_Hall 'P 1'
_cell_length_a 5.5610
_cell_length_b 4.2625
_cell_length_c 6.2590
_cell_angle_alpha 90.00
_cell_angle_beta 116.32
_cell_angle_gamma 90.00
loop_
_atom_site_label
_atom_site_fract_x
_atom_site_fract_y
_atom_site_fract_z
Hf1 0.2089 0.2500 0.4187
Hf2 0.7911 0.7500 0.5813
Zn1 0.1722 0.2500 0.8752
Zn2 0.2978 0.7500 0.1257
Zn3 0.7022 0.2500 0.8743
Zn4 0.8278 0.7500 0.1248
Pt1 0.3576 0.7500 0.7149
Pt2 0.6424 0.2500 0.2851
```

Summary:
For the formation enthalpy at 0 K, the calculation gives -623.3 meV per atom. Its density of states at the Fermi level is 2.980 states/eV/cell.

---

No. 2
VASP calculation (GGA-PBE) on an optimized crystal structure of Li7MgAg2.

Cell and atoms, written as CIF:
```
data_Li7MgAg2
_chemical_formula_sum 'Li7 Mg1 Ag2'
_symmetry_space_group_name_H-M 'P 1'
_symmetry_Int_Tables_number 1
_symmetry_space_group_name_Hall 'P 1'
_cell_length_a 12.4538
_cell_length_b 12.4538
_cell_length_c 2.8436
_cell_angle_alpha 90.00
_cell_angle_beta 90.00
_cell_angle_gamma 155.27
loop_
_atom_site_label
_atom_site_fract_x
_atom_site_fract_y
_atom_site_fract_z
Li1 0.0000 0.0000 0.0000
Li2 0.1487 0.3542 0.0000
Li3 0.2945 0.7055 0.5000
Li4 0.3542 0.1487 0.0000
Li5 0.6458 0.8513 0.0000
Li6 0.7055 0.2945 0.5000
Li7 0.8513 0.6458 0.0000
Mg1 0.5000 0.5000 0.5000
Ag1 0.1976 0.8024 0.0000
Ag2 0.8024 0.1976 0.0000
```

Summary:
The value obtained for the energy above the most stable polymorph in this dataset is 0.000 eV/atom. For the formation enthalpy at 0 K, the calculation gives -47.1 meV per atom. Its density of states at the Fermi level is 3.956 states/eV/cell.

---

No. 3
VASP calculation (GGA-PBE) on an optimized crystal structure of La8Sm5Er.

Cell and atoms, written as CIF:
```
data_La8Sm5Er
_chemical_formula_sum 'La8 Sm5 Er1'
_symmetry_space_group_name_H-M 'P 1'
_symmetry_Int_Tables_number 1
_symmetry_space_group_name_Hall 'P 1'
_cell_length_a 8.7127
_cell_length_b 8.7127
_cell_length_c 8.7127
_cell_angle_alpha 110.55
_cell_angle_beta 110.55
_cell_angle_gamma 107.33
loop_
_atom_site_label
_atom_site_fract_x
_atom_site_fract_y
_atom_site_fract_z
La1 0.0782 0.6811 0.7684
La2 0.1716 0.2731 0.7631
La3 0.3189 0.0873 0.3970
La4 0.5100 0.4085 0.2369
La5 0.5915 0.8284 0.1015
La6 0.6902 0.9218 0.6030
La7 0.7269 0.4900 0.8985
La8 0.9127 0.3098 0.2316
Sm1 0.2219 0.6203 0.1933
Sm2 0.3797 0.5731 0.6016
Sm3 0.4269 0.0286 0.8067
Sm4 0.7500 0.2500 0.5000
Sm5 0.9714 0.7781 0.3984
Er1 0.0000 0.0000 0.0000
```

Summary:
For the formation enthalpy at 0 K, the calculation gives 233.9 meV per atom. Its density of states at the Fermi level is 22.488 states/eV/cell.

---

No. 4
VASP calculation (GGA-PBE) on an optimized crystal structure of RbNaTa2Bi.

Cell and atoms, written as CIF:
```
data_RbNaTa2Bi
_chemical_formula_sum 'Rb1 Na1 Ta2 Bi1'
_symmetry_space_group_name_H-M 'P 1'
_symmetry_Int_Tables_number 1
_symmetry_space_group_name_Hall 'P 1'
_cell_length_a 5.2052
_cell_length_b 5.2052
_cell_length_c 5.3105
_cell_angle_alpha 90.00
_cell_angle_beta 90.00
_cell_angle_gamma 90.00
loop_
_atom_site_label
_atom_site_fract_x
_atom_site_fract_y
_atom_site_fract_z
Rb1 0.0000 0.0000 0.0000
Na1 0.0000 0.0000 0.5000
Ta1 0.0000 0.5000 0.5000
Ta2 0.5000 0.0000 0.5000
Bi1 0.5000 0.5000 0.0000
```

Summary:
The value obtained for the energy above the most stable polymorph in this dataset is 0.000 eV/atom. For the formation enthalpy at 0 K, the calculation gives 2168.1 meV per atom. Its density of states at the Fermi level is 5.303 states/eV/cell.

---

No. 5
VASP calculation (GGA-PBE) on an optimized crystal structure of NaTbP4O12.

Cell and atoms, written as CIF:
```
data_NaTbP4O12
_chemical_formula_sum 'Na4 Tb4 P16 O48'
_symmetry_space_group_name_H-M 'P 1'
_symmetry_Int_Tables_number 1
_symmetry_space_group_name_Hall 'P 1'
_cell_length_a 7.2664
_cell_length_b 13.2564
_cell_length_c 12.1949
_cell_angle_alpha 90.00
_cell_angle_beta 126.09
_cell_angle_gamma 90.00
loop_
_atom_site_label
_atom_site_fract_x
_atom_site_fract_y
_atom_site_fract_z
Na1 0.0625 0.2236 0.0621
Na2 0.0625 0.2764 0.5621
Na3 0.9375 0.7236 0.4379
Na4 0.9375 0.7764 0.9379
Tb1 0.4666 0.2224 0.9785
Tb2 0.4666 0.2776 0.4785
Tb3 0.5334 0.7224 0.5215
Tb4 0.5334 0.7776 0.0215
P1 0.0059 0.6032 0.2564
P2 0.0059 0.8968 0.7564
P3 0.1088 0.6149 0.7345
P4 0.1088 0.8851 0.2345
P5 0.3440 0.6268 0.1980
P6 0.3440 0.8732 0.6980
P7 0.4386 0.0929 0.7057
P8 0.4386 0.4071 0.2057
P9 0.5614 0.5929 0.7943
P10 0.5614 0.9071 0.2943
P11 0.6560 0.1268 0.3020
P12 0.6560 0.3732 0.8020
P13 0.8912 0.1149 0.7655
P14 0.8912 0.3851 0.2655
P15 0.9941 0.1032 0.2436
P16 0.9941 0.3968 0.7436
O1 0.0670 0.5124 0.7856
O2 0.0670 0.9876 0.2856
O3 0.0933 0.6250 0.1645
O4 0.0933 0.8750 0.6645
O5 0.1018 0.1499 0.8978
O6 0.1018 0.3501 0.3978
O7 0.1914 0.6144 0.4059
O8 0.1914 0.8856 0.9059
O9 0.2062 0.1652 0.2996
O10 0.2062 0.3348 0.7996
O11 0.2193 0.6857 0.8525
O12 0.2193 0.8143 0.3525
O13 0.2872 0.5817 0.7030
O14 0.2872 0.9183 0.2030
O15 0.3284 0.7064 0.1051
O16 0.3284 0.7936 0.6051
O17 0.3503 0.1626 0.5874
O18 0.3503 0.3374 0.0874
O19 0.3565 0.5190 0.1417
O20 0.3565 0.9810 0.6417
O21 0.3758 0.1147 0.8006
O22 0.3758 0.3853 0.3006
O23 0.4786 0.1348 0.1518
O24 0.4786 0.3652 0.6518
O25 0.5214 0.6348 0.3482
O26 0.5214 0.8652 0.8482
O27 0.6242 0.6147 0.6994
O28 0.6242 0.8853 0.1994
O29 0.6435 0.0190 0.3583
O30 0.6435 0.4810 0.8583
O31 0.6497 0.6626 0.9126
O32 0.6497 0.8374 0.4126
O33 0.6716 0.2064 0.3949
O34 0.6716 0.2936 0.8949
O35 0.7128 0.0817 0.7970
O36 0.7128 0.4183 0.2970
O37 0.7807 0.1857 0.6475
O38 0.7807 0.3143 0.1475
O39 0.7938 0.6652 0.2004
O40 0.7938 0.8348 0.7004
O41 0.8086 0.1144 0.0941
O42 0.8086 0.3856 0.5941
O43 0.8982 0.6499 0.6022
O44 0.8982 0.8501 0.1022
O45 0.9067 0.1250 0.3355
O46 0.9067 0.3750 0.8355
O47 0.9330 0.0124 0.7144
O48 0.9330 0.4876 0.2144
```

Summary:
Its formation energy without anion corrections is -2.442 eV per atom. Its density of states at the Fermi level is 0.000 states/eV/cell.

---

No. 6
VASP calculation (GGA-PBE) on an optimized crystal structure of EuAlCdIn.

Cell and atoms, written as CIF:
```
data_EuAlCdIn
_chemical_formula_sum 'Eu1 Al1 Cd1 In1'
_symmetry_space_group_name_H-M 'P 1'
_symmetry_Int_Tables_number 1
_symmetry_space_group_name_Hall 'P 1'
_cell_length_a 5.1845
_cell_length_b 5.1845
_cell_length_c 5.1845
_cell_angle_alpha 60.00
_cell_angle_beta 60.00
_cell_angle_gamma 60.00
loop_
_atom_site_label
_atom_site_fract_x
_atom_site_fract_y
_atom_site_fract_z
Eu1 0.0000 0.0000 0.0000
Al1 0.5000 0.5000 0.5000
Cd1 0.2500 0.2500 0.2500
In1 0.7500 0.7500 0.7500
```

Summary:
For the formation enthalpy at 0 K, the calculation gives -192.9 meV per atom. Its density of states at the Fermi level is 1.152 states/eV/cell.

---

No. 7
VASP calculation (GGA-PBE) on an optimized crystal structure of InSiAgAs2.

Cell and atoms, written as CIF:
```
data_InSiAgAs2
_chemical_formula_sum 'In1 Si1 Ag1 As2'
_symmetry_space_group_name_H-M 'P 1'
_symmetry_Int_Tables_number 1
_symmetry_space_group_name_Hall 'P 1'
_cell_length_a 5.2543
_cell_length_b 5.2543
_cell_length_c 5.0711
_cell_angle_alpha 90.00
_cell_angle_beta 90.00
_cell_angle_gamma 90.00
loop_
_atom_site_label
_atom_site_fract_x
_atom_site_fract_y
_atom_site_fract_z
In1 0.0000 0.0000 0.0000
Si1 0.0000 0.0000 0.5000
Ag1 0.5000 0.5000 0.5000
As1 0.0000 0.5000 0.0000
As2 0.5000 0.0000 0.0000
```

Summary:
Its formation energy without anion corrections is 1.127 eV per atom. Its density of states at the Fermi level is 3.053 states/eV/cell.

---

No. 8
VASP calculation (GGA-PBE) on an optimized crystal structure of YAs2Ir.

Cell and atoms, written as CIF:
```
data_YAs2Ir
_chemical_formula_sum 'Y1 As2 Ir1'
_symmetry_space_group_name_H-M 'P 1'
_symmetry_Int_Tables_number 1
_symmetry_space_group_name_Hall 'P 1'
_cell_length_a 6.3571
_cell_length_b 6.3571
_cell_length_c 6.3571
_cell_angle_alpha 147.33
_cell_angle_beta 145.35
_cell_angle_gamma 48.36
loop_
_atom_site_label
_atom_site_fract_x
_atom_site_fract_y
_atom_site_fract_z
Y1 0.0000 0.0000 0.0000
As1 0.3128 0.8128 0.5000
As2 0.5968 0.5968 0.0000
Ir1 0.7467 0.2467 0.5000
```

Summary:
The value obtained for the energy above the most stable polymorph in this dataset is 0.211 eV/atom. For the formation enthalpy at 0 K, the calculation gives -583.2 meV per atom. Its density of states at the Fermi level is 1.064 states/eV/cell.

---

Table of final energy (eV/atom), in record order: -5.26, -2.12, -4.59, -3.81, -7.28, -4.61, -2.93, -6.74